This record from Alexandria describes an optimized crystal structure of Mg9CdHg2. The functional is PBE-GGA.

Structure (POSCAR):
```
Mg9CdHg2
1.0
4.414 0.000 0.000
0.000 4.414 0.000
0.000 0.000 13.403
Mg Hg Cd
9 2 1
Cartesian
0.000 2.207 2.267
2.207 0.000 2.267
2.207 2.207 8.911
2.207 2.207 0.000
2.207 0.000 6.701
0.000 2.207 6.701
2.207 0.000 11.135
0.000 2.207 11.135
2.207 2.207 4.491
0.000 0.000 8.918
0.000 0.000 4.484
0.000 0.000 0.000
```

**DFT formation energy**: -0.11 eV per atom
**D(E_F)**: 0.575 states/eV per atom
**Space group**: P4/mmm, No. 123
**Size of the total moment**: 0.0000 μB/atom


This record from Alexandria describes an optimized crystal structure of GeIr. The functional is PBE-GGA.

Structure (POSCAR):
```
GeIr
1.0
-4.622 1.846 2.851
-1.442 -2.906 -0.457
7.210 -4.056 3.040
Ge Ir
4 4
Cartesian
3.881 -2.379 2.880
-1.293 0.168 3.010
1.591 -3.313 4.302
-0.445 -1.804 1.132
-0.517 -2.166 3.663
5.988 -3.525 3.519
1.662 -2.950 1.771
-3.401 1.315 2.371
```

**DFT formation energy**: -0.19 eV per atom
**D(E_F)**: 0.402 states/eV per atom
**Space group**: C2/m, No. 12
**Size of the total moment**: 0.0000 μB/atom


This record from Alexandria describes an optimized crystal structure of Ca2Ge2PdPt5. The functional is PBE-GGA.

Structure (POSCAR):
```
Ca2Ge2PdPt5
1.0
3.717 0.000 0.000
0.000 9.775 0.000
0.000 0.000 9.775
Ca Pt Ge Pd
4 10 4 2
Cartesian
0.000 6.586 1.698
0.000 8.077 6.586
0.000 3.189 8.077
0.000 1.698 3.189
1.859 4.888 0.000
1.859 4.266 2.901
1.859 7.789 9.154
1.859 1.987 0.621
1.859 6.874 4.266
1.859 0.621 7.789
1.859 0.000 4.888
1.859 9.154 1.987
1.859 2.901 5.509
1.859 5.509 6.874
0.000 8.526 3.638
0.000 1.250 6.137
0.000 6.137 8.526
0.000 3.638 1.250
0.000 4.888 4.888
0.000 0.000 0.000
```

**DFT formation energy**: -0.67 eV per atom
**D(E_F)**: 0.282 states/eV per atom
**Space group**: P4/mbm, No. 127
**Size of the total moment**: 0.0000 μB/atom


This record from Alexandria describes an optimized crystal structure of PrAsPd4. The functional is PBE-GGA.

Structure (POSCAR):
```
PrAsPd4
1.0
5.410 0.000 0.000
2.705 4.685 0.000
2.705 1.562 4.417
As Pd Pr
1 4 1
Cartesian
0.000 0.000 0.000
4.057 3.904 2.761
5.410 1.561 2.761
5.410 3.123 0.552
6.763 3.904 2.761
2.705 1.562 1.104
```

**DFT formation energy**: -0.43 eV per atom
**Distance to the lowest polymorph of the same formula**: 1.059 eV per formula unit
**D(E_F)**: 1.164 states/eV per atom
**Space group**: F-43m, No. 216
**Size of the total moment**: 0.0000 μB/atom


This record from Alexandria describes an optimized crystal structure of CaSc4Sb. The functional is PBE-GGA.

Structure (POSCAR):
```
CaSc4Sb
1.0
-0.436 -4.452 4.171
-5.482 -1.644 2.156
-2.395 -5.412 -1.543
Sb Sc Ca
1 4 1
Cartesian
0.000 0.000 0.000
-3.123 -4.324 1.797
-3.340 -6.538 3.872
-5.850 -5.141 2.870
-4.314 -7.015 1.030
-6.235 -8.632 3.588
```

**D(E_F)**: 1.696 states/eV per atom
**Raw formation energy**: 0.08 eV/atom
**Space group**: F-43m, No. 216
**Size of the total moment**: 0.2015 μB/atom


This record from Alexandria describes an optimized crystal structure of InTc2Os. The functional is PBE-GGA.

Structure (POSCAR):
```
InTc2Os
1.0
-0.225 -2.713 -0.636
1.149 0.624 2.471
-8.362 -0.233 3.949
Tc Os In
2 1 1
Cartesian
-8.251 -0.230 3.897
-4.291 -0.120 2.026
-5.809 -1.219 3.879
-1.628 -1.103 1.904
```

**DFT formation energy**: 0.54 eV per atom
**D(E_F)**: 1.034 states/eV per atom
**Space group**: Cmmm, No. 65
**Size of the total moment**: 0.0000 μB/atom


This record from Alexandria describes an optimized crystal structure of Nd2YPu3Te6. The functional is PBE-GGA.

Structure (POSCAR):
```
Nd2YPu3Te6
1.0
4.427 0.000 0.000
0.000 8.912 0.278
-2.214 -2.615 9.348
Te Pu Nd Y
6 3 2 1
Cartesian
0.000 1.924 6.379
2.214 -0.160 3.100
0.000 6.457 6.527
2.214 -0.417 9.380
0.000 6.714 0.247
2.214 4.374 3.247
0.000 6.553 3.385
2.214 -0.255 6.242
2.214 4.456 0.139
0.000 2.114 3.221
2.214 4.184 6.406
2.214 0.000 0.000
```

**D(E_F)**: 2.778 states/eV per atom
**Raw formation energy**: -1.26 eV/atom
**Space group**: C2/m, No. 12
**Size of the total moment**: 1.4836 μB/atom


This record from Alexandria describes an optimized crystal structure of MnReRh2. The functional is PBE-GGA.

Structure (POSCAR):
```
MnReRh2
1.0
4.665 0.014 0.000
1.513 4.413 0.000
-3.089 -2.213 2.706
Mn Rh Re
1 2 1
Cartesian
0.757 2.206 1.353
3.089 2.213 0.000
0.000 0.000 0.000
2.333 0.007 1.353
```

**DFT formation energy**: -0.09 eV per atom
**Distance to the lowest polymorph of the same formula**: 0.065 eV per formula unit
**D(E_F)**: 0.901 states/eV per atom
**Space group**: I4/mmm, No. 139
**Size of the total moment**: 0.5777 μB/atom


This record from Alexandria describes an optimized crystal structure of DyThAu2. The functional is PBE-GGA.

Structure (POSCAR):
```
DyThAu2
1.0
-0.379 2.850 4.321
-4.364 2.623 1.004
-3.121 -1.532 3.854
Au Th Dy
2 1 1
Cartesian
-5.898 2.956 6.884
-1.966 0.985 2.295
-3.932 1.970 4.589
0.000 0.000 0.000
```

**DFT formation energy**: -0.69 eV per atom
**Distance to the lowest polymorph of the same formula**: 0.225 eV per formula unit
**D(E_F)**: 0.992 states/eV per atom
**Space group**: Fm-3m, No. 225
**Size of the total moment**: 0.0000 μB/atom


This record from Alexandria describes an optimized crystal structure of TbNd2Bi. The functional is PBE-GGA.

Structure (POSCAR):
```
TbNd2Bi
1.0
-1.688 1.305 2.888
-2.547 -1.944 1.622
7.173 -5.342 8.840
Nd Bi Tb
2 1 1
Cartesian
4.922 -3.997 6.916
-1.985 -1.983 6.434
0.000 0.000 0.000
1.468 -2.990 6.675
```

**DFT formation energy**: 0.01 eV per atom
**Distance to the lowest polymorph of the same formula**: 1.666 eV per formula unit
**D(E_F)**: 1.318 states/eV per atom
**Space group**: R-3m, No. 166
**Size of the total moment**: 0.0000 μB/atom


This record from Alexandria describes an optimized crystal structure of Te2HPd8. The functional is PBE-GGA.

Structure (POSCAR):
```
Te2HPd8
1.0
3.936 0.000 -1.023
-0.187 5.715 -0.720
-0.086 0.079 7.750
Te Pd H
2 8 1
Cartesian
3.159 1.310 4.069
0.504 4.485 1.937
1.275 5.507 4.904
0.719 1.894 2.764
2.388 0.288 1.103
1.437 2.767 5.525
3.680 4.382 6.071
2.944 3.901 3.243
2.226 3.028 0.482
-0.017 1.413 -0.064
1.968 0.000 -0.512
```

**Distance to the lowest polymorph of the same formula**: 0.000 eV per formula unit
**D(E_F)**: 0.395 states/eV per atom
**Space group**: C2/m, No. 12
**Size of the total moment**: 0.0000 μB/atom


This record from Alexandria describes an optimized crystal structure of TmAlC. The functional is PBE-GGA.

Structure (POSCAR):
```
TmAlC
1.0
4.738 0.000 0.000
0.000 5.246 -0.439
0.000 -2.650 4.548
Al Tm C
2 2 2
Cartesian
0.000 0.000 0.000
2.369 0.000 0.000
3.554 -0.318 3.075
1.185 2.913 1.035
3.554 3.820 0.462
1.185 -1.225 3.648
```

**DFT formation energy**: 0.02 eV per atom
**Distance to the lowest polymorph of the same formula**: 0.928 eV per formula unit
**D(E_F)**: 0.354 states/eV per atom
**Space group**: Cmcm, No. 63
**Size of the total moment**: 0.0000 μB/atom


> Which of these has the highest D(E_F)?

Nd2YPu3Te6